Density functional theory data (PBE+U) for ZrNiNF2 after structural relaxation.

Values from the calculation:
- Symmetry: P4/mmm
- Fermi-level density of states: 0.48 states/eV/atom
- Energy relative to the lowest polymorph listed for this composition: 1.991 eV/f.u.
- Calculated total energy: -5.635 eV per atom

Lattice parameters (Å, degrees): 3.6839 3.6839 4.4392 90.00 90.00 90.00
With the nearest neighbours (Å) after each atom.
Atoms (fractional coordinates):
Zr1 0.0000 0.0000 0.0000  4 N 2.60, 8 F 2.88
Ni1 0.5000 0.5000 0.5000  4 F 1.84
N1 0.5000 0.5000 0.0000  2 Ni 2.22
F1 0.0000 0.5000 0.5000  2 Ni 1.84
F2 0.5000 0.0000 0.5000  2 Ni 1.84